Below is a relaxed Na2Mn2IrO6 crystal, with properties calculated at the PBE+U level.

Structure (POSCAR):
```
Na2Mn2IrO6
1.0
5.2512 0.1436 0.0316
-2.4706 4.6359 0.0316
-1.0082 -1.7329 5.4583
O Na Mn Ir
6 2 2 1
direct
0.2658 0.2658 0.3206
0.6146 0.9591 0.3031
0.7342 0.7342 0.6794
0.3854 0.0409 0.6969
0.0409 0.3854 0.6969
0.9591 0.6146 0.3031
0.1708 0.8292 0.0000
0.8292 0.1708 0.0000
0.3344 0.6656 0.5000
0.6656 0.3344 0.5000
0.0000 0.0000 0.5000
```

Computed properties:
Final energy = -6.507 eV per atom
Calculated density = 5.45 g/cm³
Crystal system = monoclinic